Here is a relaxed structure of KLaW2 from Alexandria. Energies are from PBE-GGA.

a b c (Å): 6.190 6.190 6.190
angles (deg): 142.46 142.46 54.13
Positions (direct):
K1 0.250 0.750 0.500
W1 0.000 0.000 0.000
W2 0.500 0.500 0.000
La1 0.750 0.250 0.500

**Magnetization**: 0.00 μB/f.u.
**Polymorph energy (0 for the lowest one)**: 2.859 eV/f.u.
**N(E_F)**: 0.838 states/eV per atom
**Calculated total energy**: -6.563 eV per atom
**ΔE_f**: 1420 meV per atom